The following is a PBE-GGA calculation of an optimized crystal structure of Ce4Ge2Os, from the Alexandria database.

a = 6.148 Å, b = 4.046 Å, c = 8.289 Å
α = 90.00°, β = 110.93°, γ = 90.00°
Atoms (fractional coordinates):
Ce  0.084  0.000  0.188
Ce  0.318  0.500  0.638
Ce  0.682  0.500  0.362
Ce  0.916  0.000  0.812
Ge  0.291  0.500  0.002
Ge  0.709  0.500  0.998
Os  0.000  0.000  0.500

Values from the calculation:
- Energy relative to the elements: -0.26 eV/atom

=====

The following is a PBE-GGA calculation of an optimized crystal structure of Li2La2Al, from the Alexandria database.

a = 7.005 Å, b = 7.005 Å, c = 5.095 Å
α = 90.00°, β = 90.00°, γ = 90.00°
Atoms (fractional coordinates):
Li  0.132  0.368  0.000
Li  0.368  0.868  0.000
Li  0.632  0.132  0.000
Li  0.868  0.632  0.000
La  0.183  0.683  0.500
La  0.317  0.183  0.500
La  0.683  0.817  0.500
La  0.817  0.317  0.500
Al  0.000  0.000  0.000
Al  0.500  0.500  0.000

Values from the calculation:
- Energy relative to the elements: -0.06 eV/atom

=====

The following is a PBE-GGA calculation of an optimized crystal structure of NbCu3W, from the Alexandria database.

a = 4.549 Å, b = 4.549 Å, c = 4.549 Å
α = 90.00°, β = 90.00°, γ = 90.00°
Atoms (fractional coordinates):
Nb  0.000  0.000  0.000
Cu  0.000  0.500  0.500
Cu  0.500  0.000  0.500
Cu  0.500  0.500  0.000
W  0.500  0.500  0.500

Values from the calculation:
- Energy relative to the elements: 1.69 eV/atom

=====

The following is a PBE-GGA calculation of an optimized crystal structure of CuOs2Cl, from the Alexandria database.

a = 3.718 Å, b = 3.718 Å, c = 7.994 Å
α = 111.17°, β = 111.17°, γ = 44.54°
Atoms (fractional coordinates):
Cu  0.000  0.000  0.000
Os  0.213  0.213  0.747
Os  0.400  0.400  0.559
Cl  0.715  0.715  0.263

Values from the calculation:
- Uncorrected formation energy: 14.8 kcal/mol of atoms

=====

Number 1: total magnetic moment 2.7 μB/cell, energy above the lowest structure with this stoichiometry 165 meV/atom. Number 2: total magnetic moment 0.0 μB/cell, energy above the lowest structure with this stoichiometry 0 meV/atom. Number 3: total magnetic moment 0.0 μB/cell, energy above the lowest structure with this stoichiometry 0 meV/atom. Number 4: total magnetic moment 0.0 μB/cell, energy above the lowest structure with this stoichiometry 291 meV/atom.